## Zr2NiHg (PBE)

Data for a relaxed Zr2NiHg crystal.

Calculated values
**Space group**: I4/mmm (139)
**Calculated formation energy**: -0.1226 eV/atom
**Size of the total moment**: 0.000 μB per cell

Cell lengths 4.3178, 4.3178, 8.1976 Å; angles 90.00, 90.00, 90.00 degrees
Fractional coordinates of all 8 atoms:
Zr  0.0000  0.5000  0.2500
Zr  0.0000  0.5000  0.7500
Zr  0.5000  0.0000  0.2500
Zr  0.5000  0.0000  0.7500
Ni  0.0000  0.0000  0.0000
Ni  0.5000  0.5000  0.5000
Hg  0.0000  0.0000  0.5000
Hg  0.5000  0.5000  0.0000